--- A ---
Below is crystalline InS2NO at its relaxed geometry, with properties calculated at the PBE level.

Cell: 5.1778 5.1778 4.2768 Å, 90.00 90.00 90.00°
Last column: magnetic moment on the atom in μB.
Fractional coordinates of all 5 atoms:
In (0.0000, 0.0000, 0.0000)  -0.03
S (0.0000, 0.5000, 0.0000)  0.77
O (0.5000, 0.5000, 0.5000)  1.47
N (0.0000, 0.0000, 0.5000)  1.24
S (0.5000, 0.0000, 0.0000)  0.77

Density of states at the Fermi level = 3.17 states/eV/cell


--- B ---
Below is crystalline InS2NO at its relaxed geometry, with properties calculated at the PBE level.

Cell: 4.1427 4.1427 4.2327 Å, 90.00 90.00 90.00°
Fractional coordinates of all 5 atoms:
N (0.0000, 0.0000, 0.5000)
O (0.0000, 0.0000, 0.0000)
S (0.0000, 0.5000, 0.0000)
S (0.5000, 0.0000, 0.0000)
In (0.5000, 0.5000, 0.5000)

Density of states at the Fermi level = 1.86 states/eV/cell


Which of them is the most stable? Correct choice: B.


--- A ---
Below is crystalline InOs2N at its relaxed geometry, with properties calculated at the PBE level.

Cell: 6.4980 6.4980 5.4173 Å, 53.15 53.15 90.00°
Fractional coordinates of all 8 atoms:
N (0.5000, 0.5000, 0.0000)
Os (0.5026, 0.1250, 0.2500)
In (0.0000, 0.0000, 0.0000)
N (0.2500, 0.7500, 0.5000)
In (0.7500, 0.2500, 0.5000)
Os (0.3750, 0.4974, 0.7500)
Os (0.8750, 0.7526, 0.7500)
Os (0.2474, 0.6250, 0.2500)

Density of states at the Fermi level = 4.69 states/eV/cell


--- B ---
Below is crystalline InOs2N at its relaxed geometry, with properties calculated at the PBE level.

Cell: 4.3371 4.3371 4.3371 Å, 60.00 60.00 60.00°
Fractional coordinates of all 4 atoms:
N (0.0000, 0.0000, 0.0000)
Os (0.2500, 0.2500, 0.2500)
In (0.5000, 0.5000, 0.5000)
Os (0.7500, 0.7500, 0.7500)

Density of states at the Fermi level = 4.09 states/eV/cell


Which of them is the most stable? Correct choice: A.


--- A ---
Below is crystalline InOsSN2 at its relaxed geometry, with properties calculated at the PBE level.

Cell: 4.0337 4.0337 5.5934 Å, 90.00 90.00 90.00°
Last column: magnetic moment on the atom in μB.
Fractional coordinates of all 5 atoms:
Os (0.5000, 0.5000, 0.5000)  2.94
S (0.0000, 0.0000, 0.5000)  0.14
In (0.0000, 0.0000, 0.0000)  -0.01
N (0.5000, 0.0000, 0.0000)  0.89
N (0.0000, 0.5000, 0.0000)  0.89

Density of states at the Fermi level = 4.25 states/eV/cell


--- B ---
Below is crystalline InOsSN2 at its relaxed geometry, with properties calculated at the PBE level.

Cell: 3.8501 3.8501 5.1851 Å, 90.00 90.00 90.00°
Last column: magnetic moment on the atom in μB.
Fractional coordinates of all 5 atoms:
Os (0.0000, 0.0000, 0.0000)  -0.01
In (0.5000, 0.5000, 0.5000)  0.00
N (0.0000, 0.5000, 0.0000)  0.14
S (0.0000, 0.0000, 0.5000)  0.00
N (0.5000, 0.0000, 0.0000)  0.14

Density of states at the Fermi level = 2.76 states/eV/cell


Which of them is the most stable? Correct choice: B.


--- A ---
Below is crystalline InOsS2N at its relaxed geometry, with properties calculated at the PBE level.

Cell: 5.0693 5.0693 4.0454 Å, 90.00 90.00 90.00°
Last column: magnetic moment on the atom in μB.
Fractional coordinates of all 5 atoms:
S (0.5000, 0.0000, 0.0000)  0.16
S (0.0000, 0.5000, 0.0000)  0.16
N (0.0000, 0.0000, 0.5000)  1.07
Os (0.5000, 0.5000, 0.5000)  3.05
In (0.0000, 0.0000, 0.0000)  0.00

Density of states at the Fermi level = 5.33 states/eV/cell


--- B ---
Below is crystalline InOsS2N at its relaxed geometry, with properties calculated at the PBE level.

Cell: 4.9364 4.9364 3.7126 Å, 90.00 90.00 90.00°
Fractional coordinates of all 5 atoms:
S (0.0000, 0.5000, 0.0000)
N (0.0000, 0.0000, 0.5000)
Os (0.0000, 0.0000, 0.0000)
In (0.5000, 0.5000, 0.5000)
S (0.5000, 0.0000, 0.0000)

Density of states at the Fermi level = 5.04 states/eV/cell


Which of them is the most stable? Correct choice: B.